VASP calculation (meta-GGA SCAN) on a crystal of CsTmO2 relaxed with PBEsol.

The structure in POSCAR format:
```
CsTmO2
1.0
-0.814 2.032 2.667
-2.085 -0.162 -2.745
-6.708 -10.160 5.694
Cs Tm O
2 2 4
Direct
0.333 0.667 0.750
0.667 0.333 0.250
0.000 0.000 0.500
0.000 0.000 0.000
0.333 0.667 0.082
0.333 0.667 0.418
0.667 0.333 0.918
0.667 0.333 0.582
```

Summary:
Uncorrected energy: -28.492 eV per atom
Total moment: 0.000 μB/atom